(1)
DFT (GGA-PBE) results for crystalline Ta5Ag at its relaxed geometry.

Cell: 4.983 2.746 16.128 Å, 90.00 90.00 90.00°
Space group Amm2 (No. 38)
Inequivalent atoms, fractional coordinates:
1 Ta 0.000 0.000 0.000 (multiplicity 2)
2 Ta 0.000 0.000 0.332 (multiplicity 2)
3 Ta 0.000 0.000 0.667 (multiplicity 2)
4 Ta 0.500 0.000 0.571 (multiplicity 2)
5 Ta 0.500 0.000 0.906 (multiplicity 2)
6 Ag 0.500 0.000 0.236 (multiplicity 2)

Values from the calculation:
formation energy	0.29	eV/atom
total magnetization	0.00	μB per formula unit
E above lowest polymorph	123	meV/atom

---

(2)
DFT (GGA-PBE) results for crystalline K2Nd2PtO6 at its relaxed geometry.

Cell: 6.026 10.347 6.622 Å, 90.00 104.46 90.00°
Space group C2/m (No. 12)
Inequivalent atoms, fractional coordinates:
1 K 0.000 0.153 0.000 (multiplicity 4)
2 Nd 0.000 0.336 0.500 (multiplicity 4)
3 Pt 0.000 0.000 0.500 (multiplicity 2)
4 O 0.195 0.152 0.673 (multiplicity 8)
5 O 0.243 0.000 0.320 (multiplicity 4)

Values from the calculation:
ΔE_f (raw)	-2.0078	eV/atom
total magnetization	0.00	μB per formula unit

---

(3)
DFT (GGA-PBE) results for crystalline TbDyEr4Se8 at its relaxed geometry.

Cell: 8.3688 8.3688 20.5303 Å, 90.00 90.00 120.00°
Space group R3m (No. 160, hexagonal axes)
Inequivalent atoms, fractional coordinates:
1 Tb 0.0000 0.0000 0.0000 (multiplicity 3)
2 Dy 0.0000 0.0000 0.3746 (multiplicity 3)
3 Er 0.0000 0.0000 0.7493 (multiplicity 3)
4 Er 0.1671 0.3343 0.2077 (multiplicity 9)
5 Se 0.0000 0.0000 0.1337 (multiplicity 3)
6 Se 0.0000 0.0000 0.6170 (multiplicity 3)
7 Se 0.0179 0.5090 0.1276 (multiplicity 9)
8 Se 0.1772 0.3545 0.9541 (multiplicity 9)

Values from the calculation:
ΔE_f (raw)	-1.7023	eV/atom
total magnetization	0.00	μB per formula unit

---

(4)
DFT (GGA-PBE) results for crystalline GdThTc2 at its relaxed geometry.

Cell: 6.980 6.980 6.980 Å, 90.00 90.00 90.00°
Space group Fm-3m (No. 225)
Inequivalent atoms, fractional coordinates:
1 Gd 0.000 0.000 0.000 (multiplicity 4)
2 Th 0.000 0.000 0.500 (multiplicity 4)
3 Tc 0.250 0.250 0.250 (multiplicity 8)

Values from the calculation:
formation energy	0.04	eV/atom
total magnetization	6.72	μB per formula unit
E above lowest polymorph	0	meV/atom

---

Number 1: electronic total energy -120.696 eV for the cell shown. Number 2: electronic total energy -139.214 eV for the cell shown. Number 3: electronic total energy -237.576 eV for the cell shown. Number 4: electronic total energy -168.325 eV for the cell shown.